(1)
Compound: Li3BiN
Source: Alexandria
Functional: SCAN
Structure: single point on PBEsol structure

Cell and atoms, written as POSCAR:
```
Li3BiN
1.0
4.1016 0.0000 0.0000
0.0000 4.1016 0.0000
0.0000 0.0000 4.1016
Li Bi N
3 1 1
direct
0.0000 0.0000 0.5000
0.0000 0.5000 0.0000
0.5000 0.0000 0.0000
0.5000 0.5000 0.5000
0.0000 0.0000 0.0000
```

Summary:
- E above lowest polymorph (meV/atom) = 0
- formation energy from raw total energies (eV/atom) = -0.1611
- N(E_F) (states/eV per atom) = 0.365
- SG = Pm-3m

(2)
Compound: SiHRu3
Source: Alexandria
Functional: SCAN
Structure: single point on PBEsol structure

Cell and atoms, written as POSCAR:
```
SiHRu3
1.0
3.7989 0.0000 0.0000
0.0000 3.7989 0.0000
0.0000 0.0000 3.7989
Si H Ru
1 1 3
direct
0.0000 0.0000 0.0000
0.5000 0.5000 0.5000
0.0000 0.5000 0.5000
0.5000 0.0000 0.5000
0.5000 0.5000 0.0000
```

Summary:
- total DFT energy (no corrections) (eV for the cell shown) = -117.68
- N(E_F) (states/eV per atom) = 1.260
- SG = Pm-3m

(3)
Compound: KLiTe4
Source: Alexandria
Functional: SCAN
Structure: single point on PBEsol structure

Cell and atoms, written as POSCAR:
```
KLiTe4
1.0
0.0000 4.6050 4.6050
4.6050 0.0000 4.6050
4.6050 4.6050 0.0000
K Li Te
1 1 4
direct
0.0000 0.0000 0.0000
0.2500 0.2500 0.2500
0.1258 0.6247 0.6247
0.6247 0.1258 0.6247
0.6247 0.6247 0.1258
0.6247 0.6247 0.6247
```

Summary:
- formation energy from raw total energies (eV/atom) = -0.2645
- N(E_F) (states/eV per atom) = 0.469
- SG = F-43m

(4)
Compound: RbMoP2O
Source: Alexandria
Functional: SCAN
Structure: single point on PBEsol structure

Cell and atoms, written as POSCAR:
```
RbMoP2O
1.0
5.1072 0.0000 0.0000
0.0000 5.1072 0.0000
0.0000 0.0000 3.9416
Rb Mo P O
1 1 2 1
direct
0.0000 0.0000 0.0000
0.5000 0.5000 0.5000
0.0000 0.5000 0.0000
0.5000 0.0000 0.0000
0.0000 0.0000 0.5000
```

Summary:
- formation energy from raw total energies (eV/atom) = 2.0650
- N(E_F) (states/eV per atom) = 0.558
- SG = P4/mmm

(5)
Compound: Ba3BiB9O18
Source: Alexandria
Functional: SCAN
Structure: single point on PBEsol structure

Cell and atoms, written as POSCAR:
```
Ba3BiB9O18
1.0
7.2300 0.0000 0.0000
-3.6150 6.2614 0.0000
0.0000 0.0000 16.9779
Ba Bi B O
6 2 18 36
direct
0.0000 0.0000 0.2500
0.0000 0.0000 0.7500
0.3333 0.6667 0.1323
0.3333 0.6667 0.3677
0.6667 0.3333 0.6323
0.6667 0.3333 0.8677
0.0000 0.0000 0.0000
0.0000 0.0000 0.5000
0.1164 0.6218 0.7500
0.1620 0.4512 0.5846
0.1620 0.4512 0.9154
0.2892 0.8380 0.5846
0.2892 0.8380 0.9154
0.3782 0.4946 0.7500
0.4512 0.2892 0.0846
0.4512 0.2892 0.4154
0.4946 0.1164 0.2500
0.5054 0.8836 0.7500
0.5488 0.7108 0.5846
0.5488 0.7108 0.9154
0.6218 0.5054 0.2500
0.7108 0.1620 0.0846
0.7108 0.1620 0.4154
0.8380 0.5488 0.0846
0.8380 0.5488 0.4154
0.8836 0.3782 0.2500
0.0037 0.7479 0.0869
0.0037 0.7479 0.4131
0.0821 0.4133 0.2500
0.1241 0.6243 0.5830
0.1241 0.6243 0.9170
0.1668 0.4575 0.7500
0.2521 0.2558 0.0869
0.2521 0.2558 0.4131
0.2558 0.0037 0.5869
0.2558 0.0037 0.9131
0.2907 0.8332 0.7500
0.3312 0.9179 0.2500
0.3757 0.4998 0.5830
0.3757 0.4998 0.9170
0.4133 0.3312 0.7500
0.4575 0.2907 0.2500
0.4998 0.1241 0.0830
0.4998 0.1241 0.4170
0.5002 0.8759 0.5830
0.5002 0.8759 0.9170
0.5425 0.7093 0.7500
0.5867 0.6688 0.2500
0.6243 0.5002 0.0830
0.6243 0.5002 0.4170
0.6688 0.0821 0.7500
0.7093 0.1668 0.2500
0.7442 0.9963 0.0869
0.7442 0.9963 0.4131
0.7479 0.7442 0.5869
0.7479 0.7442 0.9131
0.8332 0.5425 0.2500
0.8759 0.3757 0.0830
0.8759 0.3757 0.4170
0.9179 0.5867 0.7500
0.9963 0.2521 0.5869
0.9963 0.2521 0.9131
```

Summary:
- formation energy from raw total energies (eV/atom) = -2.7192
- N(E_F) (states/eV per atom) = 0.000
- SG = P6_3/m

(6)
Compound: Eu2TlSn
Source: Alexandria
Functional: SCAN
Structure: single point on PBEsol structure

Cell and atoms, written as POSCAR:
```
Eu2TlSn
1.0
0.0000 3.8586 3.8586
3.8586 0.0000 3.8586
3.8586 3.8586 0.0000
Eu Tl Sn
2 1 1
direct
0.2500 0.2500 0.2500
0.7500 0.7500 0.7500
0.0000 0.0000 0.0000
0.5000 0.5000 0.5000
```

Summary:
- formation energy from the elements (kJ per mole of atoms) = -66
- N(E_F) (states/eV per atom) = 0.432
- SG = Fm-3m